# 1
Sm2Ga9Rh3: relaxed, PBE-GGA.

The space group is C2/c (No. 15) and the conventional cell measures 13.217, 7.597 and 10.576 Å, with angles of 90.00, 114.79 and 90.00 degrees. The asymmetric unit holds Sm at (0.169, 0.083, 0.250), Ga at (0.000, 0.372, 0.250), Ga at (0.058, 0.084, 0.922), Ga at (0.103, 0.315, 0.748), Ga at (0.104, 0.416, 0.062), Ga at (0.223, 0.417, 0.423), Rh at (0.085, 0.244, 0.501) and Rh at (0.250, 0.250, 0.000).

Its energy of formation from the pure elements is -0.72 eV/atom. The size of the total moment comes out at 0.000 Bohr magnetons per cell. For the calculated volume, the calculation gives 17.22 Å³/atom.

---

# 2
Y2CdCuO5: relaxed, PBE-GGA.

The space group is P4/mbm (No. 127) and the conventional cell measures 6.460, 6.460 and 5.623 Å, with angles of 90.00, 90.00 and 90.00 degrees. The asymmetric unit holds Y at (0.172, 0.328, 0.000), Cd at (0.000, 0.000, 0.500), Cu at (0.000, 0.500, 0.500), O at (0.000, 0.000, 0.000) and O at (0.143, 0.643, 0.255).

The size of the total moment comes out at 1.978 Bohr magnetons per cell. For the calculated volume, the calculation gives 13.04 Å³/atom. Its energy relative to the elements, uncorrected is -2.099 eV per atom.

---

# 3
Sr2TlPdO5: relaxed, PBE-GGA.

The space group is Cmc2_1 (No. 36) and the conventional cell measures 3.454, 14.099 and 11.064 Å, with angles of 90.00, 90.00 and 90.00 degrees. The asymmetric unit holds Sr at (0.000, 0.094, 0.000), Sr at (0.000, 0.141, 0.624), Tl at (0.000, 0.215, 0.344), Pd at (0.000, 0.474, 0.766), O at (0.000, 0.055, 0.378), O at (0.000, 0.270, 0.984), O at (0.000, 0.333, 0.710), O at (0.000, 0.380, 0.312) and O at (0.000, 0.486, 0.091).

The size of the total moment comes out at 0.000 Bohr magnetons per cell. For the calculated volume, the calculation gives 14.97 Å³/atom. Its energy relative to the elements, uncorrected is -1.473 eV per atom.

---

Repeat the second record exactly.
Y2CdCuO5: relaxed, PBE-GGA.

The space group is P4/mbm (No. 127) and the conventional cell measures 6.460, 6.460 and 5.623 Å, with angles of 90.00, 90.00 and 90.00 degrees. The asymmetric unit holds Y at (0.172, 0.328, 0.000), Cd at (0.000, 0.000, 0.500), Cu at (0.000, 0.500, 0.500), O at (0.000, 0.000, 0.000) and O at (0.143, 0.643, 0.255).

The size of the total moment comes out at 1.978 Bohr magnetons per cell. For the calculated volume, the calculation gives 13.04 Å³/atom. Its energy relative to the elements, uncorrected is -2.099 eV per atom.

---

calculated volume of number 2 (Y2CdCuO5)? 13.04 Å³/atom

---

Please write out number 2 again, unchanged.
Y2CdCuO5: relaxed, PBE-GGA.

The space group is P4/mbm (No. 127) and the conventional cell measures 6.460, 6.460 and 5.623 Å, with angles of 90.00, 90.00 and 90.00 degrees. The asymmetric unit holds Y at (0.172, 0.328, 0.000), Cd at (0.000, 0.000, 0.500), Cu at (0.000, 0.500, 0.500), O at (0.000, 0.000, 0.000) and O at (0.143, 0.643, 0.255).

The size of the total moment comes out at 1.978 Bohr magnetons per cell. For the calculated volume, the calculation gives 13.04 Å³/atom. Its energy relative to the elements, uncorrected is -2.099 eV per atom.

---

Which of these has the highest size of the total moment? Y2CdCuO5